Record 1
VASP calculation (PBE) on an optimized crystal structure of CoTc3Te.

a b c (Å): 4.470 4.470 4.470
angles (deg): 90.00 90.00 90.00
Atoms (fractional coordinates):
Co 0.000 0.000 0.000
Tc 0.000 0.000 0.500
Tc 0.000 0.500 0.000
Tc 0.500 0.000 0.000
Te 0.500 0.500 0.500

Computed properties:
Its space group is Pm-3m. The value obtained for the formation energy from raw total energies is 1.255 eV per atom. The distance to the lowest polymorph of the same formula is 0.000 eV/atom. The total energy is -35.069 eV for the cell shown. Its theoretical density is 8.93 g/cm3.

***

Record 2
VASP calculation (PBE) on an optimized crystal structure of CoTcTe4.

a b c (Å): 6.228 6.228 6.228
angles (deg): 60.00 60.00 60.00
Atoms (fractional coordinates):
Co 0.000 0.000 0.000
Tc 0.750 0.750 0.750
Te 0.375 0.375 0.375
Te 0.375 0.375 0.876
Te 0.375 0.876 0.375
Te 0.876 0.375 0.375

Computed properties:
Its space group is F-43m. The value obtained for the formation energy from raw total energies is 1.439 eV per atom. The total energy is -21.404 eV for the cell shown. Its theoretical density is 6.49 g/cm3.

***

Record 3
VASP calculation (PBE) on an optimized crystal structure of CoTcTe2.

a b c (Å): 3.936 3.935 6.542
angles (deg): 90.00 90.06 90.00
Atoms (fractional coordinates):
Co 0.000 0.000 0.000
Tc 0.500 0.500 0.000
Te 0.000 0.500 0.253
Te 0.500 0.000 0.747

Computed properties:
Its space group is Pm. The value obtained for the formation energy from raw total energies is -0.031 eV per atom. The distance to the lowest polymorph of the same formula is 0.000 eV/atom. The total energy is -23.879 eV for the cell shown. Its theoretical density is 6.75 g/cm3.